Crystalline AcNbSi at its relaxed geometry. Source: OQMD via LeMat-Bulk, functional GGA-PBE.

a b c (Å): 5.115 5.115 5.115
angles (deg): 60.00 60.00 60.00
Fractional positions:
Ac: 0.000 0.000 0.000
Nb: 0.750 0.750 0.750
Si: 0.250 0.250 0.250

SG: F-43m (216)
Energy above the lowest structure with this stoichiometry, meV/atom: 948



Crystalline AcNbSi at its relaxed geometry. Source: OQMD via LeMat-Bulk, functional GGA-PBE.

a b c (Å): 4.855 4.855 4.855
angles (deg): 60.00 60.00 60.00
Fractional positions:
Ac: 0.000 0.000 0.000
Nb: 0.500 0.500 0.500
Si: 0.250 0.250 0.250

SG: F-43m (216)
Energy above the lowest structure with this stoichiometry, meV/atom: 0



Crystalline AcSmNb at its relaxed geometry. Source: OQMD via LeMat-Bulk, functional GGA-PBE.

a b c (Å): 5.255 5.255 5.255
angles (deg): 60.00 60.00 60.00
Fractional positions:
Ac: 0.000 0.000 0.000
Sm: 0.500 0.500 0.500
Nb: 0.250 0.250 0.250

SG: F-43m (216)
Energy above the lowest structure with this stoichiometry, meV/atom: 0



Crystalline AcNbSn at its relaxed geometry. Source: OQMD via LeMat-Bulk, functional GGA-PBE.

a b c (Å): 5.146 5.146 5.146
angles (deg): 60.00 60.00 60.00
Fractional positions:
Ac: 0.000 0.000 0.000
Nb: 0.500 0.500 0.500
Sn: 0.250 0.250 0.250

SG: F-43m (216)
Energy above the lowest structure with this stoichiometry, meV/atom: 0



Crystalline AcNbSn at its relaxed geometry. Source: OQMD via LeMat-Bulk, functional GGA-PBE.

a b c (Å): 5.348 5.348 5.348
angles (deg): 60.00 60.00 60.00
Fractional positions:
Ac: 0.000 0.000 0.000
Nb: 0.750 0.750 0.750
Sn: 0.250 0.250 0.250

SG: F-43m (216)
Energy above the lowest structure with this stoichiometry, meV/atom: 591



Crystalline SrAcNb at its relaxed geometry. Source: OQMD via LeMat-Bulk, functional GGA-PBE.

a b c (Å): 5.572 5.572 5.572
angles (deg): 60.00 60.00 60.00
Fractional positions:
Sr: 0.000 0.000 0.000
Ac: 0.500 0.500 0.500
Nb: 0.750 0.750 0.750

SG: F-43m (216)



Crystalline AcTaNb at its relaxed geometry. Source: OQMD via LeMat-Bulk, functional GGA-PBE.

a b c (Å): 4.839 4.839 4.839
angles (deg): 60.00 60.00 60.00
Fractional positions:
Ac: 0.000 0.000 0.000
Ta: 0.500 0.500 0.500
Nb: 0.250 0.250 0.250

SG: F-43m (216)
Energy above the lowest structure with this stoichiometry, meV/atom: 0



Crystalline AcTbNb at its relaxed geometry. Source: OQMD via LeMat-Bulk, functional GGA-PBE.

a b c (Å): 5.247 5.247 5.247
angles (deg): 60.00 60.00 60.00
Fractional positions:
Ac: 0.000 0.000 0.000
Tb: 0.500 0.500 0.500
Nb: 0.250 0.250 0.250

SG: F-43m (216)
Energy above the lowest structure with this stoichiometry, meV/atom: 0



Crystalline AcNbTe at its relaxed geometry. Source: OQMD via LeMat-Bulk, functional GGA-PBE.

a b c (Å): 5.485 5.485 5.485
angles (deg): 60.00 60.00 60.00
Fractional positions:
Ac: 0.000 0.000 0.000
Nb: 0.750 0.750 0.750
Te: 0.250 0.250 0.250

SG: F-43m (216)
Energy above the lowest structure with this stoichiometry, meV/atom: 541



Crystalline AcNbTe at its relaxed geometry. Source: OQMD via LeMat-Bulk, functional GGA-PBE.

a b c (Å): 4.944 4.944 4.944
angles (deg): 60.00 60.00 60.00
Fractional positions:
Ac: 0.000 0.000 0.000
Nb: 0.250 0.250 0.250
Te: 0.500 0.500 0.500

SG: F-43m (216)
Energy above the lowest structure with this stoichiometry, meV/atom: 0



Crystalline AcThNb at its relaxed geometry. Source: OQMD via LeMat-Bulk, functional GGA-PBE.

a b c (Å): 5.179 5.179 5.179
angles (deg): 60.00 60.00 60.00
Fractional positions:
Ac: 0.000 0.000 0.000
Th: 0.500 0.500 0.500
Nb: 0.250 0.250 0.250

SG: F-43m (216)



Crystalline AcNbTl at its relaxed geometry. Source: OQMD via LeMat-Bulk, functional GGA-PBE.

a b c (Å): 5.136 5.136 5.136
angles (deg): 60.00 60.00 60.00
Fractional positions:
Ac: 0.000 0.000 0.000
Nb: 0.250 0.250 0.250
Tl: 0.500 0.500 0.500

SG: F-43m (216)
Energy above the lowest structure with this stoichiometry, meV/atom: 0



| no. | total DFT energy (no corrections) (eV per cell) |
| --- | --- |
| 1 | -15.870 |
| 2 | -18.713 |
| 3 | -16.536 |
| 4 | -16.991 |
| 5 | -15.218 |
| 6 | -12.766 |
| 7 | -23.101 |
| 8 | -16.434 |
| 9 | -15.079 |
| 10 | -16.703 |
| 11 | -19.677 |
| 12 | -14.418 |